Record 1
First-principles (GGA-PBE) data for a relaxed Sc2ZnCr crystal, as listed in the Alexandria database.

Summary:
density of states at the Fermi level	1.113	states/eV per atom
SG	R3m
total moment	0.799	μB/atom
energy of formation	0.2683	eV per atom

POSCAR file:
```
Sc2ZnCr
1.0
9.392 -0.026 -0.015
8.876 3.073 -0.015
8.876 1.480 2.693
Cr Sc Zn
1 2 1
Direct
0.756 0.756 0.756
0.008 0.008 0.008
0.242 0.242 0.242
0.494 0.494 0.494
```

Record 2
First-principles (GGA-PBE) data for a relaxed CsB2H8 crystal, as listed in the Alexandria database.

Summary:
SG	C2/m
raw total energy	-42.0	eV per cell
total moment	0.091	μB/atom

POSCAR file:
```
CsB2H8
1.0
5.966 0.000 0.000
-2.983 4.323 -2.363
0.000 -0.409 6.590
Cs B H
1 2 8
Direct
0.000 0.000 0.000
0.223 0.447 0.718
0.777 0.553 0.282
0.596 0.537 0.178
0.059 0.463 0.822
0.060 0.120 0.551
0.940 0.880 0.449
0.941 0.537 0.178
0.404 0.463 0.822
0.281 0.561 0.595
0.719 0.439 0.405
```

Record 3
First-principles (GGA-PBE) data for a relaxed Rb4Tl2Bi3 crystal, as listed in the Alexandria database.

Summary:
density of states at the Fermi level	0.149	states/eV per atom
SG	C2/m
total moment	0.000	μB/atom
energy of formation	-0.2410	eV per atom

POSCAR file:
```
Rb4Tl2Bi3
1.0
-1.081 -1.120 -4.172
-0.772 -8.621 2.515
-9.240 5.310 3.345
Rb Tl Bi
4 2 3
Direct
0.261 0.721 0.521
0.739 0.279 0.479
0.554 0.874 0.108
0.446 0.126 0.892
0.379 0.454 0.757
0.621 0.546 0.243
0.097 0.273 0.193
0.903 0.727 0.807
0.000 0.500 0.000
```

Record 4
First-principles (GGA-PBE) data for a relaxed NaSr2LiO crystal, as listed in the Alexandria database.

Summary:
formation energy from raw total energies	-875	meV per atom
density of states at the Fermi level	0.428	states/eV per atom
SG	P4/mmm
total moment	0.000	μB/atom

POSCAR file:
```
NaSr2LiO
1.0
5.130 0.000 0.000
0.000 5.130 0.000
0.000 0.000 5.354
Sr Li O Na
2 1 1 1
Direct
0.000 0.500 0.000
0.500 0.000 0.000
0.000 0.000 0.500
0.000 0.000 0.000
0.500 0.500 0.500
```

Record 5
First-principles (GGA-PBE) data for a relaxed VPdSe3 crystal, as listed in the Alexandria database.

Summary:
formation energy from raw total energies	201	meV per atom
density of states at the Fermi level	1.198	states/eV per atom
SG	Pm-3m
total moment	0.003	μB/atom

POSCAR file:
```
VPdSe3
1.0
-3.983 1.963 1.768
1.680 -0.585 4.436
2.039 4.318 -0.203
Pd Se V
1 3 1
Direct
0.500 0.500 0.500
0.000 0.500 0.000
0.000 0.000 0.500
0.500 0.000 0.000
0.000 0.000 0.000
```

Record 6
First-principles (GGA-PBE) data for a relaxed MnZn crystal, as listed in the Alexandria database.

Summary:
density of states at the Fermi level	0.576	states/eV per atom
SG	Fd-3m
total moment	0.000	μB/atom
energy of formation	0.2141	eV per atom

POSCAR file:
```
MnZn
1.0
4.094 0.000 0.000
2.047 3.545 0.000
2.047 1.182 3.342
Mn Zn
2 2
Direct
0.000 0.000 0.000
0.250 0.250 0.250
0.750 0.750 0.750
0.500 0.500 0.500
```

Record 7
First-principles (GGA-PBE) data for a relaxed TaHg2MoAu crystal, as listed in the Alexandria database.

Summary:
density of states at the Fermi level	0.972	states/eV per atom
SG	P4/mmm
total moment	0.764	μB/atom
energy of formation	1.5802	eV per atom

POSCAR file:
```
TaHg2MoAu
1.0
5.360 0.000 0.000
0.000 5.051 0.000
0.000 0.000 5.360
Mo Au Hg Ta
1 1 2 1
Direct
0.500 0.500 0.500
0.000 0.500 0.000
0.000 0.000 0.500
0.500 0.000 0.000
0.000 0.000 0.000
```

Record 8
First-principles (GGA-PBE) data for a relaxed K3Li crystal, as listed in the Alexandria database.

Summary:
density of states at the Fermi level	0.720	states/eV per atom
SG	Pmm2
total moment	0.000	μB/atom
energy of formation	0.1423	eV per atom

POSCAR file:
```
K3Li
1.0
4.602 0.000 0.000
0.000 4.129 0.000
0.000 0.000 12.675
K Li
3 1
Direct
0.000 0.500 0.460
0.500 0.500 0.154
0.500 0.000 0.746
0.000 0.000 0.973
```

Record 9
First-principles (GGA-PBE) data for a relaxed LaHo6Er3 crystal, as listed in the Alexandria database.

Summary:
density of states at the Fermi level	1.287	states/eV per atom
SG	Cmc2_1
total moment	0.000	μB/atom
energy of formation	0.1333	eV per atom

POSCAR file:
```
LaHo6Er3
1.0
8.911 0.000 0.000
0.000 8.902 -1.060
0.000 -3.020 8.441
La Ho Er
2 12 6
Direct
0.014 0.225 0.775
0.514 0.775 0.225
0.104 0.810 0.692
0.604 0.692 0.810
0.275 0.528 0.826
0.775 0.826 0.528
0.285 0.948 0.052
0.647 0.285 0.715
0.147 0.715 0.285
0.785 0.052 0.948
0.275 0.174 0.472
0.775 0.472 0.174
0.104 0.308 0.190
0.604 0.190 0.308
0.434 0.969 0.686
0.934 0.686 0.969
0.415 0.548 0.452
0.915 0.452 0.548
0.934 0.031 0.314
0.434 0.314 0.031
```

Record 10
First-principles (GGA-PBE) data for a relaxed Ce6CoHPb2 crystal, as listed in the Alexandria database.

Summary:
density of states at the Fermi level	2.409	states/eV per atom
SG	I4/mmm
raw total energy	-56.5	eV per cell
total moment	0.478	μB/atom

POSCAR file:
```
Ce6CoHPb2
1.0
7.095 0.000 0.001
0.000 7.095 0.001
3.548 3.548 5.020
Ce Co H Pb
6 1 1 2
Direct
0.241 0.241 0.519
0.758 0.758 0.000
0.242 0.758 0.000
0.758 0.242 0.000
0.242 0.242 0.000
0.759 0.759 0.481
0.500 0.500 0.000
0.000 0.000 0.000
0.750 0.250 0.500
0.250 0.750 0.500
```

Record 11
First-principles (GGA-PBE) data for a relaxed Ru3ClF crystal, as listed in the Alexandria database.

Summary:
formation energy from raw total energies	1257	meV per atom
density of states at the Fermi level	1.226	states/eV per atom
SG	Pm-3m
total moment	0.898	μB/atom

POSCAR file:
```
Ru3ClF
1.0
-3.809 -2.167 -0.457
-0.044 -0.836 4.326
-2.214 3.744 0.701
Ru F Cl
3 1 1
Direct
0.000 0.500 0.000
0.000 0.000 0.500
0.500 0.000 0.000
0.500 0.500 0.500
0.000 0.000 0.000
```

Record 12
First-principles (GGA-PBE) data for a relaxed Sc6AgC4 crystal, as listed in the Alexandria database.

Summary:
density of states at the Fermi level	0.300	states/eV per atom
SG	Cmcm
total moment	0.000	μB/atom
energy of formation	-0.3786	eV per atom

POSCAR file:
```
Sc6AgC4
1.0
3.398 0.000 0.000
-1.699 5.631 0.000
0.000 0.000 17.937
Sc Ag C
12 2 8
Direct
0.500 0.000 0.000
0.500 0.000 0.500
0.029 0.058 0.358
0.971 0.942 0.642
0.971 0.942 0.858
0.029 0.058 0.142
0.773 0.545 0.425
0.227 0.455 0.575
0.227 0.455 0.925
0.773 0.545 0.075
0.352 0.705 0.250
0.648 0.295 0.750
0.649 0.297 0.250
0.351 0.703 0.750
0.863 0.727 0.541
0.405 0.810 0.129
0.137 0.273 0.459
0.595 0.190 0.871
0.863 0.727 0.959
0.137 0.273 0.041
0.595 0.190 0.629
0.405 0.810 0.371
```